(1)
VASP calculation (GGA-PBE) on a relaxed structure of CrRuPb2.

Values from the calculation:
* calculated formation energy: 0.7655 eV/atom
* space group: F-43m, No. 216
* crystal system: cubic
* energy relative to the lowest polymorph listed for this composition: 438 meV/atom

a b c (Å): 4.9044 4.9044 4.9044
angles (deg): 60.00 60.00 60.00
Last column: magnetic moment on the atom in μB.
Element x y z (fractional)
1 Pb 0.2500 0.2500 0.2500  -0.03
2 Pb 0.0000 0.0000 0.0000  -0.01
3 Ru 0.7500 0.7500 0.7500  -0.37
4 Cr 0.5000 0.5000 0.5000  3.40

(2)
VASP calculation (GGA-PBE) on a relaxed structure of PrDyTm5.

Values from the calculation:
* calculated formation energy: 0.2003 eV/atom
* space group: C2/c, No. 15
* crystal system: monoclinic
* energy relative to the lowest polymorph listed for this composition: 0 meV/atom

a b c (Å): 6.6897 6.6897 13.7346
angles (deg): 61.36 61.36 60.72
Element x y z (fractional)
1 Tm 0.1757 0.3875 0.7453
2 Tm 0.6998 0.6455 0.0021
3 Tm 0.1667 0.8333 0.7500
4 Tm 0.6125 0.8243 0.7547
5 Tm 0.8243 0.6125 0.2547
6 Tm 0.6455 0.6998 0.5021
7 Tm 0.3545 0.3002 0.4979
8 Tm 0.3002 0.3545 0.9979
9 Tm 0.3875 0.1757 0.2453
10 Tm 0.8333 0.1667 0.2500
11 Pr 0.0000 0.0000 0.5000
12 Pr 0.0000 0.0000 0.0000
13 Dy 0.2776 0.7224 0.2500
14 Dy 0.7224 0.2776 0.7500

(3)
VASP calculation (GGA-PBE) on a relaxed structure of Tl3VSe.

Values from the calculation:
* space group: Pm-3m, No. 221
* crystal system: cubic
* energy relative to the lowest polymorph listed for this composition: 0 meV/atom
* uncorrected formation energy: 0.471 eV/atom

a b c (Å): 5.4221 5.4221 5.4221
angles (deg): 90.00 90.00 90.00
Last column: magnetic moment on the atom in μB.
Element x y z (fractional)
1 Tl 0.0000 0.0000 0.5000  0.10
2 Tl 0.0000 0.5000 0.0000  0.10
3 Tl 0.5000 0.0000 0.0000  0.10
4 Se 0.5000 0.5000 0.5000  0.24
5 V 0.0000 0.0000 0.0000  2.89

(4)
VASP calculation (GGA-PBE) on a relaxed structure of Ba4MnIr.

Values from the calculation:
* calculated formation energy: 1.1683 eV/atom
* space group: F-43m, No. 216
* crystal system: cubic

a b c (Å): 6.8337 6.8337 6.8337
angles (deg): 60.00 60.00 60.00
Last column: magnetic moment on the atom in μB.
Element x y z (fractional)
1 Ba 0.3761 0.8717 0.3761  -0.07
2 Ba 0.8717 0.3761 0.3761  -0.07
3 Ba 0.3761 0.3761 0.3761  -0.07
4 Ba 0.3761 0.3761 0.8717  -0.07
5 Ir 0.7500 0.7500 0.7500  0.20
6 Mn 0.0000 0.0000 0.0000  4.25

(5)
VASP calculation (GGA-PBE) on a relaxed structure of PuPaAgIr.

Values from the calculation:
* calculated formation energy: -0.1598 eV/atom
* space group: F-43m, No. 216
* crystal system: cubic

a b c (Å): 4.9809 4.9809 4.9809
angles (deg): 60.00 60.00 60.00
Last column: magnetic moment on the atom in μB.
Element x y z (fractional)
1 Ir 0.2500 0.2500 0.2500  -0.25
2 Pu 0.5000 0.5000 0.5000  5.23
3 Ag 0.7500 0.7500 0.7500  0.01
4 Pa 0.0000 0.0000 0.0000  0.61